Tb4PmPr2Dy | PBE | optimized geometry

Summary:
ΔH_f (0 K): 17 meV per atom
N(E_F): 10.95 states/eV/cell
SG: No. 10

extended XYZ file:
```
8
Lattice="5.1221 0.0000 0.0000 0.0000 5.0007 1.0027 0.0001 3.0110 10.9691" Properties=species:S:1:pos:R:3 pbc="T T T"
Pr 0.0001 3.0110 10.9691
Pr 2.5611 1.5055 5.4846
Tb 0.0001 6.0125 8.9606
Tb 2.5611 3.5098 8.4635
Tb 5.1221 1.9991 3.0112
Tb 2.5611 4.5019 3.5083
Dy 0.0001 4.0058 5.9860
Pm 2.5611 2.5003 0.5014
```

AcCrN | PBE | optimized geometry

Summary:
E_form (uncorrected): -493 meV per atom
N(E_F): 10.01 states/eV/cell
SG: No. 62
energy above the most stable polymorph in this dataset: 0 meV/atom

extended XYZ file:
```
12
Lattice="3.7740 0.0000 0.0000 0.0000 6.5470 0.0000 0.0000 0.0000 9.5684" Properties=species:S:1:pos:R:3 pbc="T T T"
N 0.9435 0.9951 5.2469
N 2.8305 4.2686 9.1058
N 0.9435 2.2784 0.4627
N 2.8305 5.5519 4.3215
Cr 0.9435 5.8145 4.4313
Cr 0.9435 4.0060 9.2155
Cr 2.8305 0.7325 5.1372
Cr 2.8305 2.5410 0.3530
Ac 0.9435 0.6686 7.8743
Ac 2.8305 5.8784 1.6941
Ac 0.9435 2.6049 3.0901
Ac 2.8305 3.9421 6.4783
```

SiPbCl2 | PBE | optimized geometry

Summary:
E_form (uncorrected): -254 meV per atom
N(E_F): 1.70 states/eV/cell
SG: No. 8
energy above the most stable polymorph in this dataset: 129 meV/atom

extended XYZ file:
```
4
Lattice="-3.8494 -1.7578 3.7483 -0.7567 -2.0663 5.2072 -0.7096 6.1843 2.8120" Properties=species:S:1:pos:R:3 pbc="T T T"
Cl -0.0290 0.2091 0.1058
Cl -3.9287 1.3810 8.6203
Pb -2.6030 0.1866 5.5574
Si -1.4127 1.7636 3.3677
```

BeCrSi | PBE | optimized geometry

Summary:
E_form (uncorrected): -36 meV per atom
N(E_F): 2.91 states/eV/cell
SG: No. 44

extended XYZ file:
```
3
Lattice="4.3847 0.0023 0.0033 2.4336 3.6474 -0.0033 -3.1902 -2.2340 2.0145" Properties=species:S:1:pos:R:3 pbc="T T T"
Si 2.3088 1.2358 0.0000
Be 6.8168 3.6489 0.0000
Cr 4.5111 2.4147 0.0000
```

no.,E_tot (eV/atom)
1,-4.662
2,-7.845
3,-3.460
4,-6.294